Entry 1:
Crystalline TcAgTe2 at its relaxed geometry. Source: Alexandria via LeMat-Bulk, functional PBE.

Properties
Its relative energy among the computed polymorphs is 0.728 eV per atom. The symmetry is F-43m, No. 216.

Unit cell a=5.0259 b=5.0259 c=5.0259 alpha=60.00 beta=60.00 gamma=60.00
With the nearest neighbours (Å) after each atom.
Element x y z (fractional)
Te  0.2500  0.2500  0.2500  4 Ag 3.08, 4 Te 3.08
Te  0.0000  0.0000  0.0000  4 Te 3.08, 4 Tc 3.08
Ag  0.5000  0.5000  0.5000  4 Tc 3.08, 4 Te 3.08
Tc  0.7500  0.7500  0.7500  4 Te 3.08, 4 Ag 3.08

---

Entry 2:
Crystalline TcAg2Te at its relaxed geometry. Source: Alexandria via LeMat-Bulk, functional PBE.

Properties
The symmetry is I4/mmm, No. 139. For the total DFT energy (no corrections), the calculation gives -17.10 eV/f.u.

Unit cell a=5.6409 b=5.6409 c=5.6409 alpha=139.17 beta=139.17 gamma=59.11
With the nearest neighbours (Å) after each atom.
Element x y z (fractional)
Ag  0.0000  0.0000  0.0000  4 Ag 2.78
Ag  0.5000  0.5000  0.0000  4 Ag 2.78
Tc  0.2500  0.7500  0.5000  4 Te 2.78
Te  0.7500  0.2500  0.5000  4 Tc 2.78

---

| no. | spin magnetization (μB per atom) |
| --- | --- |
| 1 | 0.62 |
| 2 | 0.42 |